(1)
The following is a PBE-GGA calculation of a relaxed YSnAu crystal, from OQMD.

a = 4.7007 Å, b = 4.7007 Å, c = 7.4912 Å
α = 90.00°, β = 90.00°, γ = 120.00°
Last column: nearest neighbours and their distance in Å.
Fractional positions:
Y  0.0000  0.0000  0.0000  6 Au 3.30, 6 Sn 3.30
Y  0.0000  0.0000  0.5000  6 Sn 3.30, 6 Au 3.30
Sn  0.3333  0.6667  0.2500  3 Au 2.71
Sn  0.6667  0.3333  0.7500  3 Au 2.71
Au  0.3333  0.6667  0.7500  3 Sn 2.71
Au  0.6667  0.3333  0.2500  3 Sn 2.71

Results
Its total energy is -31.93 eV/cell. As for the space group: No. 194.

=====

(2)
The following is a PBE-GGA calculation of a relaxed BaPtPb crystal, from OQMD.

a = 5.1579 Å, b = 5.1579 Å, c = 5.1579 Å
α = 60.00°, β = 60.00°, γ = 60.00°
Last column: nearest neighbours and their distance in Å.
Fractional positions:
Ba  0.0000  0.0000  0.0000  4 Pt 3.16
Pt  0.2500  0.2500  0.2500  4 Ba 3.16, 4 Pb 3.16
Pb  0.5000  0.5000  0.5000  4 Pt 3.16

Results
Its total energy is -12.88 eV/cell. As for the space group: No. 216.

=====

(3)
The following is a PBE-GGA calculation of a relaxed ZnGa2FePt4 crystal, from OQMD.

a = 4.5863 Å, b = 4.5863 Å, c = 5.6297 Å
α = 90.00°, β = 90.00°, γ = 90.00°
Last column: nearest neighbours and their distance in Å.
Fractional positions:
Zn  0.0000  0.0000  0.0000  8 Pt 2.70, 2 Ga 2.81
Ga  0.0000  0.0000  0.5000  8 Pt 2.68, 2 Zn 2.81
Ga  0.5000  0.5000  0.0000  8 Pt 2.70, 2 Fe 2.81
Fe  0.5000  0.5000  0.5000  8 Pt 2.68, 2 Ga 2.81
Pt  0.0000  0.5000  0.2531  2 Fe 2.68, 4 Ga 2.68-2.70, 2 Zn 2.70, 2 Pt 2.78-2.85
Pt  0.0000  0.5000  0.7469  2 Fe 2.68, 4 Ga 2.68-2.70, 2 Zn 2.70, 2 Pt 2.78-2.85
Pt  0.5000  0.0000  0.2531  2 Fe 2.68, 4 Ga 2.68-2.70, 2 Zn 2.70, 2 Pt 2.78-2.85
Pt  0.5000  0.0000  0.7469  2 Fe 2.68, 4 Ga 2.68-2.70, 2 Zn 2.70, 2 Pt 2.78-2.85

Results
Its total energy is -43.61 eV/cell. As for the space group: No. 123.

=====

(4)
The following is a PBE-GGA calculation of a relaxed Pu2Be2AsP3 crystal, from OQMD.

a = 5.5078 Å, b = 5.5078 Å, c = 6.2958 Å
α = 120.57°, β = 120.57°, γ = 78.54°
Last column: nearest neighbours and their distance in Å.
Fractional positions:
Pu  0.1451  0.1451  0.3964  4 P 2.78-2.91, 1 As 2.93
Pu  0.8549  0.8549  0.6036  4 P 2.78-2.91, 1 As 2.93
Be  0.3296  0.3726  0.1209  3 P 2.11-2.14, 1 As 2.34
Be  0.6274  0.6704  0.8791  3 P 2.11-2.14, 1 As 2.34
As  0.6824  0.3176  0.0000  2 Be 2.34
P  0.3252  0.6748  0.5000  2 Be 2.11
P  0.4993  0.0051  0.1629  2 Be 2.12-2.14
P  0.9949  0.5007  0.8371  2 Be 2.12-2.14

Results
Its total energy is -61.11 eV/cell. As for the space group: No. 5.

=====

(5)
The following is a PBE-GGA calculation of a relaxed YTlTcNi crystal, from OQMD.

a = 4.7266 Å, b = 4.7266 Å, c = 4.7266 Å
α = 60.00°, β = 60.00°, γ = 60.00°
Last column: nearest neighbours and their distance in Å.
Fractional positions:
Y  0.0000  0.0000  0.0000  4 Tc 2.89, 4 Ni 2.89
Tl  0.5000  0.5000  0.5000  4 Tc 2.89, 4 Ni 2.89
Tc  0.2500  0.2500  0.2500  4 Tl 2.89, 4 Y 2.89
Ni  0.7500  0.7500  0.7500  4 Tl 2.89, 4 Y 2.89

Results
Its total energy is -23.83 eV/cell. As for the space group: No. 216.

=====

(6)
The following is a PBE-GGA calculation of a relaxed Ta3InTe5 crystal, from OQMD.

a = 5.9448 Å, b = 5.9448 Å, c = 8.3837 Å
α = 90.00°, β = 90.00°, γ = 120.00°
Last column: nearest neighbours and their distance in Å.
Fractional positions:
Ta  0.0000  0.5000  0.0000  6 Te 2.86-2.97, 4 Ta 2.97
Ta  0.5000  0.0000  0.0000  6 Te 2.86-2.97, 4 Ta 2.97
Ta  0.5000  0.5000  0.0000  6 Te 2.86-2.97, 4 Ta 2.97
In  0.0000  0.0000  0.5000  14 Te 3.93-4.19
Te  0.0000  0.0000  0.0000  6 Ta 2.97
Te  0.3333  0.6667  0.2726  3 Ta 2.86
Te  0.3333  0.6667  0.7274  3 Ta 2.86
Te  0.6667  0.3333  0.2726  3 Ta 2.86
Te  0.6667  0.3333  0.7274  3 Ta 2.86

Results
Its total energy is -55.14 eV/cell. As for the space group: No. 191.

=====

Repeat the first record exactly.
The following is a PBE-GGA calculation of a relaxed YSnAu crystal, from OQMD.

a = 4.7007 Å, b = 4.7007 Å, c = 7.4912 Å
α = 90.00°, β = 90.00°, γ = 120.00°
Last column: nearest neighbours and their distance in Å.
Fractional positions:
Y  0.0000  0.0000  0.0000  6 Au 3.30, 6 Sn 3.30
Y  0.0000  0.0000  0.5000  6 Sn 3.30, 6 Au 3.30
Sn  0.3333  0.6667  0.2500  3 Au 2.71
Sn  0.6667  0.3333  0.7500  3 Au 2.71
Au  0.3333  0.6667  0.7500  3 Sn 2.71
Au  0.6667  0.3333  0.2500  3 Sn 2.71

Results
Its total energy is -31.93 eV/cell. As for the space group: No. 194.